Density functional theory data (SCAN) for a PBEsol-optimized structure of Ca2LaIr.

Cell lengths 3.799, 4.249, 15.853 Å; angles 90.00, 90.00, 90.00 degrees
Space group Amm2 (No. 38)
One atom of each set of equivalent atoms:
Ca  0.000  0.000  0.000
Ca  0.500  0.000  0.330
La  0.500  0.000  0.655
Ir  0.000  0.000  0.183

* formation energy: -0.42 eV/atom


Density functional theory data (SCAN) for a PBEsol-optimized structure of CaLa2Ir.

Cell lengths 4.1330, 4.1330, 29.0251 Å; angles 90.00, 90.00, 120.00 degrees
Space group R-3m (No. 166, hexagonal axes)
One atom of each set of equivalent atoms:
Ca  0.0000  0.0000  0.0000
La  0.0000  0.0000  0.2190
Ir  0.0000  0.0000  0.5000

* energy above the lowest structure with this stoichiometry: 0 meV per atom
* formation energy: -0.54 eV/atom


Density functional theory data (SCAN) for a PBEsol-optimized structure of CaLa2Ir.

Cell lengths 3.823, 4.351, 15.577 Å; angles 90.00, 90.00, 90.00 degrees
Space group Amm2 (No. 38)
One atom of each set of equivalent atoms:
Ca  0.000  0.000  0.000
La  0.000  0.000  0.322
La  0.500  0.000  0.665
Ir  0.500  0.000  0.841

* energy above the lowest structure with this stoichiometry: 128 meV per atom
* formation energy: -0.41 eV/atom


Density functional theory data (SCAN) for a PBEsol-optimized structure of CaLaIr.

Cell lengths 3.497, 3.497, 13.475 Å; angles 90.00, 90.00, 90.00 degrees
Space group I4mm (No. 107)
One atom of each set of equivalent atoms:
Ca  0.000  0.000  0.000
La  0.000  0.000  0.247
Ir  0.000  0.000  0.633

* energy above the lowest structure with this stoichiometry: 81 meV per atom
* formation energy: -0.52 eV/atom


Density functional theory data (SCAN) for a PBEsol-optimized structure of CaLaIrW2.

Cell lengths 4.686, 4.686, 4.936 Å; angles 90.00, 90.00, 90.00 degrees
Space group P4/mmm (No. 123)
One atom of each set of equivalent atoms:
Ca  0.000  0.000  0.000
La  0.500  0.500  0.500
Ir  0.000  0.000  0.500
W  0.000  0.500  0.000

* formation energy: 2.32 eV/atom


Density functional theory data (SCAN) for a PBEsol-optimized structure of LiCaIr.

Cell lengths 4.4907, 4.4907, 3.0134 Å; angles 90.00, 90.00, 120.00 degrees
Space group P3m1 (No. 156)
One atom of each set of equivalent atoms:
Li  0.0000  0.0000  0.0000
Ca  0.3333  0.6667  0.5022
Ir  0.6667  0.3333  0.0040

* energy above the lowest structure with this stoichiometry: 0 meV per atom
* formation energy: -0.15 eV/atom


Density functional theory data (SCAN) for a PBEsol-optimized structure of LiCa3Ir.

Cell lengths 5.076, 5.076, 5.076 Å; angles 90.00, 90.00, 90.00 degrees
Space group Pm-3m (No. 221)
One atom of each set of equivalent atoms:
Li  0.000  0.000  0.000
Ca  0.000  0.000  0.500
Ir  0.500  0.500  0.500

* formation energy: 0.83 eV/atom


Density functional theory data (SCAN) for a PBEsol-optimized structure of LiCaIr.

Cell lengths 3.0415, 3.0415, 7.1481 Å; angles 90.00, 90.00, 120.00 degrees
Space group P3m1 (No. 156)
One atom of each set of equivalent atoms:
Li  0.0000  0.0000  0.0000
Ca  0.3333  0.6667  0.5692
Ir  0.6667  0.3333  0.2700

* energy above the lowest structure with this stoichiometry: 386 meV per atom
* formation energy: 0.23 eV/atom


Density functional theory data (SCAN) for a PBEsol-optimized structure of Li2CaIr.

Cell lengths 3.170, 4.167, 6.022 Å; angles 90.00, 105.15, 90.00 degrees
Space group Pm (No. 6)
One atom of each set of equivalent atoms:
Li  0.000  0.000  0.000
Li  0.434  0.500  0.868
Ca  0.719  0.500  0.433
Ir  0.322  0.000  0.640

* energy above the lowest structure with this stoichiometry: 57 meV per atom
* formation energy: -0.05 eV/atom


Density functional theory data (SCAN) for a PBEsol-optimized structure of Li2CaIr.

Cell lengths 4.3088, 4.3088, 13.7345 Å; angles 90.00, 90.00, 120.00 degrees
Space group R3m (No. 160, hexagonal axes)
One atom of each set of equivalent atoms:
Li  0.0000  0.0000  0.0000
Li  0.0000  0.0000  0.2851
Ca  0.0000  0.0000  0.7987
Ir  0.0000  0.0000  0.5857

* energy above the lowest structure with this stoichiometry: 0 meV per atom
* formation energy: -0.10 eV/atom


Density functional theory data (SCAN) for a PBEsol-optimized structure of LiCaIr.

Cell lengths 6.360, 6.360, 6.360 Å; angles 90.00, 90.00, 90.00 degrees
Space group F-43m (No. 216)
One atom of each set of equivalent atoms:
Li  0.000  0.000  0.000
Ca  0.250  0.250  0.250
Ir  0.000  0.000  0.500

* energy above the lowest structure with this stoichiometry: 700 meV per atom
* formation energy: 0.55 eV/atom


Density functional theory data (SCAN) for a PBEsol-optimized structure of Li2CaIrO.

Cell lengths 4.024, 4.024, 4.359 Å; angles 90.00, 90.00, 90.00 degrees
Space group P4/mmm (No. 123)
One atom of each set of equivalent atoms:
Li  0.000  0.500  0.000
Ca  0.000  0.000  0.500
Ir  0.500  0.500  0.500
O  0.500  0.500  0.000

* uncorrected formation energy: -13.8 kcal/mol of atoms


Density functional theory data (SCAN) for a PBEsol-optimized structure of Li2CaIrPt.

Cell lengths 4.214, 4.214, 4.706 Å; angles 90.00, 90.00, 90.00 degrees
Space group P4/mmm (No. 123)
One atom of each set of equivalent atoms:
Li  0.000  0.500  0.000
Ca  0.000  0.000  0.000
Ir  0.500  0.500  0.500
Pt  0.000  0.000  0.500

* formation energy: 1.14 eV/atom


Density functional theory data (SCAN) for a PBEsol-optimized structure of CaMgIr.

Cell lengths 6.486, 6.486, 6.486 Å; angles 90.00, 90.00, 90.00 degrees
Space group F-43m (No. 216)
One atom of each set of equivalent atoms:
Ca  0.000  0.000  0.000
Mg  0.000  0.000  0.500
Ir  0.250  0.250  0.250

* formation energy: -0.17 eV/atom


Density functional theory data (SCAN) for a PBEsol-optimized structure of Ca2MgIr2.

Cell lengths 6.901, 6.901, 4.400 Å; angles 90.00, 90.00, 90.00 degrees
Space group P4/mbm (No. 127)
One atom of each set of equivalent atoms:
Ca  0.171  0.329  0.000
Mg  0.000  0.000  0.500
Ir  0.128  0.628  0.500

* formation energy: -0.37 eV/atom


Density functional theory data (SCAN) for a PBEsol-optimized structure of CaMg2IrSe.

Cell lengths 5.564, 5.564, 4.949 Å; angles 90.00, 90.00, 90.00 degrees
Space group P4/mmm (No. 123)
One atom of each set of equivalent atoms:
Ca  0.000  0.000  0.000
Mg  0.000  0.500  0.000
Ir  0.500  0.500  0.500
Se  0.000  0.000  0.500

* uncorrected formation energy: 31.6 kcal/mol of atoms


Density functional theory data (SCAN) for a PBEsol-optimized structure of Ca2MgIrSe.

Cell lengths 5.589, 5.589, 4.468 Å; angles 90.00, 90.00, 90.00 degrees
Space group P4/mmm (No. 123)
One atom of each set of equivalent atoms:
Ca  0.000  0.500  0.000
Mg  0.000  0.000  0.000
Ir  0.000  0.000  0.500
Se  0.500  0.500  0.500

* uncorrected formation energy: 4.6 kcal/mol of atoms


Density functional theory data (SCAN) for a PBEsol-optimized structure of CaMn2Ir.

Cell lengths 3.032, 3.032, 7.138 Å; angles 90.00, 90.00, 90.00 degrees
Space group P4mm (No. 99)
One atom of each set of equivalent atoms:
Ca  0.000  0.000  0.000
Mn  0.000  0.000  0.493
Mn  0.500  0.500  0.651
Ir  0.500  0.500  0.286

* formation energy: -0.14 eV/atom


Density functional theory data (SCAN) for a PBEsol-optimized structure of CaMn2Ir.

Cell lengths 2.662, 4.185, 5.803 Å; angles 90.00, 102.37, 90.00 degrees
Space group P2/m (No. 10)
One atom of each set of equivalent atoms:
Ca  0.000  0.000  0.000
Mn  0.443  0.500  0.334
Ir  0.000  0.000  0.500

* formation energy: 0.46 eV/atom


Density functional theory data (SCAN) for a PBEsol-optimized structure of CaMn2Ir.

Cell lengths 2.8628, 2.8628, 27.7148 Å; angles 90.00, 90.00, 120.00 degrees
Space group R-3m (No. 166, hexagonal axes)
One atom of each set of equivalent atoms:
Ca  0.0000  0.0000  0.0000
Mn  0.0000  0.0000  0.2396
Ir  0.0000  0.0000  0.5000

* formation energy: 0.31 eV/atom


Density functional theory data (SCAN) for a PBEsol-optimized structure of CaMnIr4.

Cell lengths 7.356, 7.356, 7.356 Å; angles 90.00, 90.00, 90.00 degrees
Space group F-43m (No. 216)
One atom of each set of equivalent atoms:
Ca  0.000  0.000  0.000
Mn  0.250  0.250  0.250
Ir  0.125  0.125  0.625

* formation energy: -0.32 eV/atom


Density functional theory data (SCAN) for a PBEsol-optimized structure of CaMnMoIr2.

Cell lengths 4.670, 4.670, 4.493 Å; angles 90.00, 90.00, 90.00 degrees
Space group P4/mmm (No. 123)
One atom of each set of equivalent atoms:
Ca  0.000  0.000  0.000
Mn  0.500  0.500  0.500
Mo  0.000  0.000  0.500
Ir  0.000  0.500  0.000

* formation energy: 2.34 eV/atom


Density functional theory data (SCAN) for a PBEsol-optimized structure of CaMn2IrPt.

Cell lengths 4.383, 4.383, 4.651 Å; angles 90.00, 90.00, 90.00 degrees
Space group P4/mmm (No. 123)
One atom of each set of equivalent atoms:
Ca  0.000  0.000  0.000
Mn  0.000  0.500  0.000
Ir  0.500  0.500  0.500
Pt  0.000  0.000  0.500

* formation energy: 1.79 eV/atom


Density functional theory data (SCAN) for a PBEsol-optimized structure of Ca3MoIr.

Cell lengths 5.026, 5.026, 5.026 Å; angles 90.00, 90.00, 90.00 degrees
Space group Pm-3m (No. 221)
One atom of each set of equivalent atoms:
Ca  0.000  0.000  0.500
Mo  0.000  0.000  0.000
Ir  0.500  0.500  0.500

* formation energy: 1.51 eV/atom


Density functional theory data (SCAN) for a PBEsol-optimized structure of CaMo2Ir.

Cell lengths 5.339, 9.300, 2.748 Å; angles 90.00, 106.83, 90.00 degrees
Space group C2/m (No. 12)
One atom of each set of equivalent atoms:
Ca  0.000  0.000  0.000
Mo  0.250  0.250  0.500
Ir  0.000  0.500  0.000

* formation energy: 0.41 eV/atom


Density functional theory data (SCAN) for a PBEsol-optimized structure of Ca7IrN6.

Cell lengths 6.302, 11.622, 12.042 Å; angles 90.00, 90.00, 90.00 degrees
Space group Ibam (No. 72)
One atom of each set of equivalent atoms:
Ca  0.000  0.000  0.250
Ca  0.128  0.279  0.130
Ca  0.226  0.045  0.000
Ir  0.000  0.500  0.250
N  0.105  0.149  0.500
N  0.199  0.381  0.304

* uncorrected formation energy: -18.6 kcal/mol of atoms


Density functional theory data (SCAN) for a PBEsol-optimized structure of CaIrSeN2.

Cell lengths 3.858, 3.858, 5.389 Å; angles 90.00, 90.00, 90.00 degrees
Space group P4/mmm (No. 123)
One atom of each set of equivalent atoms:
Ca  0.000  0.000  0.000
Ir  0.500  0.500  0.500
Se  0.500  0.500  0.000
N  0.000  0.500  0.500

* uncorrected formation energy: -0.9 kcal/mol of atoms


Density functional theory data (SCAN) for a PBEsol-optimized structure of CaTe2IrN.

Cell lengths 4.581, 4.581, 4.443 Å; angles 90.00, 90.00, 90.00 degrees
Space group P4/mmm (No. 123)
One atom of each set of equivalent atoms:
Ca  0.000  0.000  0.000
Te  0.000  0.500  0.500
Ir  0.500  0.500  0.000
N  0.000  0.000  0.500

* uncorrected formation energy: 7.3 kcal/mol of atoms


Record order is preserved below.
Total magnetization: 0.0081 0.0390 0.1276 0.0000 0.0001 0.0001 0.0001 0.0000 0.0099 0.0000 0.0033 0.1755 0.1627 0.0000 0.0000 0.5255 0.1018 0.0482 0.0012 1.9424 0.9525 0.5355 1.6321 0.1639 0.0000 0.1033 0.0000 0.0000 μB/atom
Record order is preserved below.
Final energy: -270.407 -507.404 -337.242 -250.877 -251.634 -83.612 -98.332 -82.453 -85.727 -257.860 -326.048 -94.758 -150.049 -344.939 -336.671 -103.942 -114.488 -117.824 -115.452 -348.052 -1256.937 -193.303 -178.524 -127.437 -297.804 -823.076 -119.613 -162.981 eV/cell